Here is crystalline YCd2Ni2 at its relaxed geometry from Alexandria via LeMat-Bulk. Energies are from GGA-PBEsol.

```
5
Lattice="-1.992 1.992 5.709 1.992 -1.992 5.709 1.992 1.992 -5.709" Properties=species:S:1:pos:R:3 pbc="T T T"
Y 0.000 0.000 0.000
Cd 1.992 0.000 2.855
Cd 0.000 1.992 2.855
Ni 0.000 0.000 4.603
Ni 0.000 0.000 6.816
```

Output
VASP energy in Ry/atom: -0.330
E_form in meV per atom: -187.3
SG: No. 139
DOS(E_F) in states/eV per cell: 3.3


Here is crystalline CaBe2Ni at its relaxed geometry from Alexandria via LeMat-Bulk. Energies are from GGA-PBEsol.

```
4
Lattice="1.877 1.084 4.920 -1.877 1.084 4.920 0.000 -2.168 4.920" Properties=species:S:1:pos:R:3 pbc="T T T"
Ca 0.000 0.000 0.000
Be 0.000 0.000 2.728
Be 0.000 0.000 12.033
Ni 0.000 0.000 7.380
```

Output
VASP energy in Ry/atom: -0.309
E_form in meV per atom: -127.6
SG: No. 166
DOS(E_F) in states/eV per cell: 2.1


Here is crystalline ZnTe2WBr at its relaxed geometry from Alexandria via LeMat-Bulk. Energies are from GGA-PBEsol.

```
5
Lattice="5.686 0.000 0.000 0.000 5.686 0.000 0.000 0.000 4.588" Properties=species:S:1:pos:R:3 pbc="T T T"
Zn 0.000 0.000 0.000
Te 0.000 2.843 2.294
Te 2.843 0.000 2.294
W 2.843 2.843 0.000
Br 2.843 2.843 2.294
```

Output
VASP energy in Ry/atom: -0.229
Uncorrected formation energy in eV per atom: 1.7511
SG: No. 123
DOS(E_F) in states/eV per cell: 5.5


Which of these has the highest VASP energy?
ZnTe2WBr